[1]
Compound: Mg3TaBe
Source: Alexandria
Functional: PBE
Structure: optimized geometry

Output
E above lowest polymorph, meV per atom: 0
Formation enthalpy at 0 K, meV/atom: 888
Energy, eV/atom: -3.185

Geometry as CIF:
```
data_Mg3TaBe
_chemical_formula_sum 'Mg3 Ta1 Be1'
_space_group_name_H-M_alt 'P m -3 m'
_space_group_IT_number 221
_space_group_name_Hall '-P 4 2 3'
_cell_length_a 4.564
_cell_length_b 4.564
_cell_length_c 4.564
_cell_angle_alpha 90.00
_cell_angle_beta 90.00
_cell_angle_gamma 90.00
loop_
_atom_site_label
_atom_site_type_symbol
_atom_site_fract_x
_atom_site_fract_y
_atom_site_fract_z
Mg1 Mg 0.000 0.000 0.500
Ta1 Ta 0.500 0.500 0.500
Be1 Be 0.000 0.000 0.000
```

---

[2]
Compound: TlGaRe2O8
Source: Alexandria
Functional: PBE
Structure: optimized geometry

Output
Raw formation energy, meV/atom: -1461
Energy, eV/atom: -7.291

Geometry as CIF:
```
data_TlGaRe2O8
_chemical_formula_sum 'Tl1 Ga1 Re2 O8'
_space_group_name_H-M_alt 'P -3'
_space_group_IT_number 147
_space_group_name_Hall '-P 3'
_cell_length_a 6.1989
_cell_length_b 6.1989
_cell_length_c 8.1615
_cell_angle_alpha 90.00
_cell_angle_beta 90.00
_cell_angle_gamma 120.00
loop_
_atom_site_label
_atom_site_type_symbol
_atom_site_fract_x
_atom_site_fract_y
_atom_site_fract_z
Tl1 Tl 0.0000 0.0000 0.0000
Ga1 Ga 0.0000 0.0000 0.5000
Re1 Re 0.3333 0.6667 0.7895
O1 O 0.1772 0.3561 0.7202
O2 O 0.3333 0.6667 0.0038
```

---

[3]
Compound: Fe2PRh
Source: Alexandria
Functional: PBE
Structure: optimized geometry

Output
Formation enthalpy at 0 K, meV/atom: -21
Energy, eV/atom: -7.442

Geometry as CIF:
```
data_Fe2PRh
_chemical_formula_sum 'Fe4 P2 Rh2'
_space_group_name_H-M_alt 'I 4/m m m'
_space_group_IT_number 139
_space_group_name_Hall '-I 4 2'
_cell_length_a 3.614
_cell_length_b 3.614
_cell_length_c 7.003
_cell_angle_alpha 90.00
_cell_angle_beta 90.00
_cell_angle_gamma 90.00
loop_
_atom_site_label
_atom_site_type_symbol
_atom_site_fract_x
_atom_site_fract_y
_atom_site_fract_z
Fe1 Fe 0.000 0.500 0.250
P1 P 0.000 0.000 0.000
Rh1 Rh 0.000 0.000 0.500
```

---

[4]
Compound: HoLuMgAu
Source: Alexandria
Functional: PBE
Structure: optimized geometry

Output
Formation enthalpy at 0 K, meV/atom: -418
Energy, eV/atom: -3.910

Geometry as CIF:
```
data_HoLuMgAu
_chemical_formula_sum 'Ho4 Lu4 Mg4 Au4'
_space_group_name_H-M_alt 'F -4 3 m'
_space_group_IT_number 216
_space_group_name_Hall 'F -4 2 3'
_cell_length_a 7.256
_cell_length_b 7.256
_cell_length_c 7.256
_cell_angle_alpha 90.00
_cell_angle_beta 90.00
_cell_angle_gamma 90.00
loop_
_atom_site_label
_atom_site_type_symbol
_atom_site_fract_x
_atom_site_fract_y
_atom_site_fract_z
Ho1 Ho 0.000 0.000 0.000
Lu1 Lu 0.000 0.000 0.500
Mg1 Mg 0.250 0.250 0.250
Au1 Au 0.250 0.250 0.750
```

---

[5]
Compound: AgTe2HI
Source: Alexandria
Functional: PBE
Structure: optimized geometry

Output
E above lowest polymorph, meV per atom: 0
Energy, eV/atom: -2.514

Geometry as CIF:
```
data_AgTe2HI
_chemical_formula_sum 'Ag1 Te2 H1 I1'
_space_group_name_H-M_alt 'P 4/m m m'
_space_group_IT_number 123
_space_group_name_Hall '-P 4 2'
_cell_length_a 4.330
_cell_length_b 4.330
_cell_length_c 8.420
_cell_angle_alpha 90.00
_cell_angle_beta 90.00
_cell_angle_gamma 90.00
loop_
_atom_site_label
_atom_site_type_symbol
_atom_site_fract_x
_atom_site_fract_y
_atom_site_fract_z
Ag1 Ag 0.000 0.000 0.000
Te1 Te 0.000 0.500 0.500
H1 H 0.500 0.500 0.500
I1 I 0.500 0.500 0.000
```

---

[6]
Compound: Nd2DyAg5
Source: Alexandria
Functional: PBE
Structure: optimized geometry

Output
Formation enthalpy at 0 K, meV/atom: -206
Energy, eV/atom: -3.756

Geometry as CIF:
```
data_Nd2DyAg5
_chemical_formula_sum 'Nd4 Dy2 Ag10'
_space_group_name_H-M_alt 'I 4/m m m'
_space_group_IT_number 139
_space_group_name_Hall '-I 4 2'
_cell_length_a 5.143
_cell_length_b 5.143
_cell_length_c 14.409
_cell_angle_alpha 90.00
_cell_angle_beta 90.00
_cell_angle_gamma 90.00
loop_
_atom_site_label
_atom_site_type_symbol
_atom_site_fract_x
_atom_site_fract_y
_atom_site_fract_z
Nd1 Nd 0.000 0.000 0.230
Dy1 Dy 0.000 0.000 0.500
Ag1 Ag 0.000 0.000 0.000
Ag2 Ag 0.000 0.500 0.112
```

---

[7]
Compound: MnCr2HOs
Source: Alexandria
Functional: PBE
Structure: optimized geometry

Output
Energy, eV/atom: -8.539

Geometry as CIF:
```
data_MnCr2HOs
_chemical_formula_sum 'Mn1 Cr2 H1 Os1'
_space_group_name_H-M_alt 'P 4/m m m'
_space_group_IT_number 123
_space_group_name_Hall '-P 4 2'
_cell_length_a 3.720
_cell_length_b 3.720
_cell_length_c 3.649
_cell_angle_alpha 90.00
_cell_angle_beta 90.00
_cell_angle_gamma 90.00
loop_
_atom_site_label
_atom_site_type_symbol
_atom_site_fract_x
_atom_site_fract_y
_atom_site_fract_z
Mn1 Mn 0.000 0.000 0.000
Cr1 Cr 0.000 0.500 0.500
H1 H 0.000 0.000 0.500
Os1 Os 0.500 0.500 0.000
```

---

[8]
Compound: ScTeRu
Source: Alexandria
Functional: PBE
Structure: optimized geometry

Output
Raw formation energy, meV/atom: -103
Energy, eV/atom: -6.353

Geometry as CIF:
```
data_ScTeRu
_chemical_formula_sum 'Sc1 Te1 Ru1'
_space_group_name_H-M_alt 'P 3 m 1'
_space_group_IT_number 156
_space_group_name_Hall 'P 3 -2"'
_cell_length_a 3.3647
_cell_length_b 3.3647
_cell_length_c 6.3113
_cell_angle_alpha 90.00
_cell_angle_beta 90.00
_cell_angle_gamma 120.00
loop_
_atom_site_label
_atom_site_type_symbol
_atom_site_fract_x
_atom_site_fract_y
_atom_site_fract_z
Sc1 Sc 0.0000 0.0000 0.0000
Te1 Te 0.6667 0.3333 0.3911
Ru1 Ru 0.3333 0.6667 0.7084
```

---

[9]
Compound: Sc3In3Ru2Rh
Source: Alexandria
Functional: PBE
Structure: optimized geometry

Output
Formation enthalpy at 0 K, meV/atom: -454
Energy, eV/atom: -6.355

Geometry as CIF:
```
data_Sc3In3Ru2Rh
_chemical_formula_sum 'Sc3 In3 Ru2 Rh1'
_space_group_name_H-M_alt 'P -6 2 m'
_space_group_IT_number 189
_space_group_name_Hall 'P -6 -2'
_cell_length_a 7.6260
_cell_length_b 7.6260
_cell_length_c 3.4006
_cell_angle_alpha 90.00
_cell_angle_beta 90.00
_cell_angle_gamma 120.00
loop_
_atom_site_label
_atom_site_type_symbol
_atom_site_fract_x
_atom_site_fract_y
_atom_site_fract_z
Sc1 Sc 0.0000 0.3937 0.0000
In1 In 0.0000 0.7220 0.5000
Ru1 Ru 0.3333 0.6667 0.5000
Rh1 Rh 0.0000 0.0000 0.0000
```

---

[10]
Compound: ReRu2PtBr
Source: Alexandria
Functional: PBE
Structure: optimized geometry

Output
Raw formation energy, meV/atom: 2404
Energy, eV/atom: -5.338

Geometry as CIF:
```
data_ReRu2PtBr
_chemical_formula_sum 'Re1 Ru2 Pt1 Br1'
_space_group_name_H-M_alt 'P 4/m m m'
_space_group_IT_number 123
_space_group_name_Hall '-P 4 2'
_cell_length_a 4.915
_cell_length_b 4.915
_cell_length_c 4.806
_cell_angle_alpha 90.00
_cell_angle_beta 90.00
_cell_angle_gamma 90.00
loop_
_atom_site_label
_atom_site_type_symbol
_atom_site_fract_x
_atom_site_fract_y
_atom_site_fract_z
Re1 Re 0.000 0.000 0.000
Ru1 Ru 0.000 0.500 0.500
Pt1 Pt 0.500 0.500 0.500
Br1 Br 0.500 0.500 0.000
```

---

[11]
Compound: Ca2FeCl
Source: Alexandria
Functional: PBE
Structure: optimized geometry

Output
Raw formation energy, meV/atom: -85
E above lowest polymorph, meV per atom: 395
Energy, eV/atom: -3.663

Geometry as CIF:
```
data_Ca2FeCl
_chemical_formula_sum 'Ca8 Fe4 Cl4'
_space_group_name_H-M_alt 'F m -3 m'
_space_group_IT_number 225
_space_group_name_Hall '-F 4 2 3'
_cell_length_a 7.365
_cell_length_b 7.365
_cell_length_c 7.365
_cell_angle_alpha 90.00
_cell_angle_beta 90.00
_cell_angle_gamma 90.00
loop_
_atom_site_label
_atom_site_type_symbol
_atom_site_fract_x
_atom_site_fract_y
_atom_site_fract_z
Ca1 Ca 0.250 0.250 0.250
Fe1 Fe 0.000 0.000 0.000
Cl1 Cl 0.000 0.000 0.500
```

---

[12]
Compound: Y2As
Source: Alexandria
Functional: PBE
Structure: optimized geometry

Output
Formation enthalpy at 0 K, meV/atom: -897
Energy, eV/atom: -6.756

Geometry as CIF:
```
data_Y2As
_chemical_formula_sum 'Y2 As1'
_space_group_name_H-M_alt 'P -3 m 1'
_space_group_IT_number 164
_space_group_name_Hall '-P 3 2"'
_cell_length_a 3.9962
_cell_length_b 3.9962
_cell_length_c 6.4308
_cell_angle_alpha 90.00
_cell_angle_beta 90.00
_cell_angle_gamma 120.00
loop_
_atom_site_label
_atom_site_type_symbol
_atom_site_fract_x
_atom_site_fract_y
_atom_site_fract_z
Y1 Y 0.3333 0.6667 0.2573
As1 As 0.0000 0.0000 0.0000
```

---

[13]
Compound: BaNbZn2
Source: Alexandria
Functional: PBE
Structure: optimized geometry

Output
E above lowest polymorph, meV per atom: 0
Formation enthalpy at 0 K, meV/atom: 567
Energy, eV/atom: -3.068

Geometry as CIF:
```
data_BaNbZn2
_chemical_formula_sum 'Ba4 Nb4 Zn8'
_space_group_name_H-M_alt 'F m -3 m'
_space_group_IT_number 225
_space_group_name_Hall '-F 4 2 3'
_cell_length_a 7.206
_cell_length_b 7.206
_cell_length_c 7.206
_cell_angle_alpha 90.00
_cell_angle_beta 90.00
_cell_angle_gamma 90.00
loop_
_atom_site_label
_atom_site_type_symbol
_atom_site_fract_x
_atom_site_fract_y
_atom_site_fract_z
Ba1 Ba 0.000 0.000 0.000
Nb1 Nb 0.000 0.000 0.500
Zn1 Zn 0.250 0.250 0.250
```

---

[14]
Compound: CaMn3Cu
Source: Alexandria
Functional: PBE
Structure: optimized geometry

Output
E above lowest polymorph, meV per atom: 1288
Formation enthalpy at 0 K, meV/atom: 1953
Energy, eV/atom: -4.768

Geometry as CIF:
```
data_CaMn3Cu
_chemical_formula_sum 'Ca1 Mn3 Cu1'
_space_group_name_H-M_alt 'P m -3 m'
_space_group_IT_number 221
_space_group_name_Hall '-P 4 2 3'
_cell_length_a 4.760
_cell_length_b 4.760
_cell_length_c 4.760
_cell_angle_alpha 90.00
_cell_angle_beta 90.00
_cell_angle_gamma 90.00
loop_
_atom_site_label
_atom_site_type_symbol
_atom_site_fract_x
_atom_site_fract_y
_atom_site_fract_z
Ca1 Ca 0.000 0.000 0.000
Mn1 Mn 0.000 0.000 0.500
Cu1 Cu 0.500 0.500 0.500
```